A geometry-optimized PmPrSn structure. Source: Alexandria via LeMat-Bulk, functional PBE.

Lattice parameters (Å, degrees): 5.3111 5.3111 5.3111 60.00 60.00 60.00
Last column: nearest neighbours and their distance in Å.
Atoms (fractional coordinates):
1 Sn 0.2500 0.2500 0.2500  4 Pr 3.25, 4 Pm 3.25
2 Pm 0.5000 0.5000 0.5000  4 Sn 3.25
3 Pr 0.0000 0.0000 0.0000  4 Sn 3.25

* theoretical density: 6.343 g/cm³
* total DFT energy (no corrections): -14.85 eV per cell
* energy relative to the elements: -0.44 eV/atom